1.
The following is a DFT calculation (PBE-GGA) of a relaxed Co2AuN crystal.

```
Co2AuN
1.0
-4.5215 -3.5163 0.5368
3.4278 -4.5392 -0.8612
-0.0498 -4.2146 2.8008
Co N Au
4 2 2
Direct
0.2521 0.6250 0.2500
0.8750 0.7479 0.7500
0.4979 0.1250 0.2500
0.3750 0.5021 0.7500
0.2500 0.7500 0.5000
0.5000 0.5000 0.0000
0.7500 0.2500 0.5000
0.0000 0.0000 0.0000
```

Calculated values
DFT total energy (eV/atom): -6.255
Symmetry: I-42d



2.
The following is a DFT calculation (PBE-GGA) of a relaxed CoAuN3 crystal.

```
CoAuN3
1.0
4.0233 0.0000 0.0000
0.0000 4.0233 0.0000
0.0000 0.0000 4.0233
Co N Au
1 3 1
Direct
0.5000 0.5000 0.5000
0.0000 0.5000 0.0000
0.0000 0.0000 0.5000
0.5000 0.0000 0.0000
0.0000 0.0000 0.0000
```

Calculated values
DFT total energy (eV/atom): -4.371
Symmetry: Pm-3m



3.
The following is a DFT calculation (PBE-GGA) of a relaxed CoAuN2 crystal.

```
CoAuN2
1.0
2.6726 -0.9132 2.6687
-0.3599 -3.2681 2.0709
2.4281 -2.9697 -0.6191
Co Au N
1 1 2
Direct
0.0000 0.0000 0.0000
0.5000 0.5000 0.5000
0.7500 0.7500 0.7500
0.2500 0.2500 0.2500
```

Calculated values
DFT total energy (eV/atom): -5.021
Symmetry: Fm-3m



4.
The following is a DFT calculation (PBE-GGA) of a relaxed CoAuN crystal.

```
CoAuN
1.0
3.6730 1.3596 -0.6411
2.6404 4.0145 -0.9190
-1.6281 -2.7711 9.3246
Co N Au
2 2 2
Direct
0.3535 0.8224 0.9610
0.3592 0.8284 0.4722
0.8526 0.4245 0.0622
0.8600 0.2263 0.3711
0.3552 0.1695 0.8097
0.3574 0.4813 0.6235
```

Calculated values
DFT total energy (eV/atom): -5.664
Symmetry: P2_1/m



5.
The following is a DFT calculation (PBE-GGA) of a relaxed CoAuN2 crystal.

```
CoAuN2
1.0
1.8559 0.0000 5.7852
-0.9280 1.6073 5.7852
-0.9280 -1.6073 5.7852
Au N Co
1 2 1
Direct
0.5000 0.5000 0.5000
0.8962 0.8962 0.8962
0.1038 0.1038 0.1038
0.0000 0.0000 0.0000
```

Calculated values
DFT total energy (eV/atom): -5.512
Symmetry: R-3m



6.
The following is a DFT calculation (PBE-GGA) of a relaxed Co2AuN crystal.

```
Co2AuN
1.0
2.8520 0.0000 0.0000
1.4260 2.4699 0.0000
1.4260 0.8233 7.1181
Co N Au
2 1 1
Direct
0.1225 0.1225 0.6325
0.8775 0.8775 0.3675
0.5000 0.5000 0.5000
0.0000 0.0000 0.0000
```

Calculated values
DFT total energy (eV/atom): -6.177
Symmetry: R-3m



7.
The following is a DFT calculation (PBE-GGA) of a relaxed Co2Au2N crystal.

```
Co2Au2N
1.0
4.7130 0.0000 0.0000
0.0000 4.7130 0.0000
0.0000 0.0000 5.0707
N Au Co
1 2 2
Direct
0.5000 0.5000 0.5000
0.0000 0.0000 0.0000
0.0000 0.0000 0.5000
0.0000 0.5000 0.0000
0.5000 0.0000 0.0000
```

Calculated values
DFT total energy (eV/atom): -3.392
Symmetry: P4/mmm



8.
The following is a DFT calculation (PBE-GGA) of a relaxed Nb2CoAuN crystal.

```
Nb2CoAuN
1.0
4.2874 0.0000 0.0000
0.0000 4.2874 0.0000
0.0000 0.0000 3.8527
N Co Nb Au
1 1 2 1
Direct
0.0000 0.0000 0.0000
0.0000 0.0000 0.5000
0.5000 0.0000 0.0000
0.0000 0.5000 0.0000
0.5000 0.5000 0.5000
```

Calculated values
DFT total energy (eV/atom): -8.144
Symmetry: P4/mmm